Here is crystalline TlCd4Sn2 at its relaxed geometry from Alexandria. Energies are from PBE.

Results
Its calculated formation energy is 30 meV/atom.

a b c (Å): 5.1449 21.6680 3.2474
angles (deg): 90.00 90.00 90.00
Last column: nearest neighbours and their distance in Å.
Space group Cmmm (No. 65)
Unique sites:
Tl 0.0000 0.0000 0.0000 x2  2 Tl 3.25, 8 Sn 3.54
Cd 0.0000 0.1613 0.5000 x4  2 Sn 3.07, 8 Cd 3.19-3.25
Cd 0.0000 0.2878 0.0000 x4  10 Cd 3.05-3.25, 2 Sn 3.22
Sn 0.0000 0.4161 0.5000 x4  4 Cd 3.07-3.22, 2 Sn 3.25